(1)
Below is a relaxed MgHRu3 crystal, with properties calculated at the GGA-PBE level.

a = 4.647 Å, b = 4.647 Å, c = 4.647 Å
α = 90.00°, β = 90.00°, γ = 90.00°
Atoms (fractional coordinates):
Mg 0.000 0.000 0.000
H 0.500 0.500 0.500
Ru 0.000 0.000 0.500
Ru 0.000 0.500 0.000
Ru 0.500 0.000 0.000

Results
total energy: -4.044 eV per atom
E above lowest polymorph: 11.60 eV per formula unit
total moment: 6.726 μB per formula unit

(2)
Below is a relaxed MgHRu2 crystal, with properties calculated at the GGA-PBE level.

a = 5.781 Å, b = 5.781 Å, c = 5.781 Å
α = 128.86°, β = 128.86°, γ = 75.23°
Atoms (fractional coordinates):
Mg 0.375 0.625 0.750
Mg 0.625 0.375 0.250
H 0.125 0.875 0.250
H 0.875 0.125 0.750
Ru 0.000 0.000 0.000
Ru 0.000 0.000 0.500
Ru 0.000 0.500 0.000
Ru 0.500 0.000 0.500

Results
total energy: -5.506 eV per atom
E above lowest polymorph: 0.00 eV per formula unit
total moment: 0.000 μB per formula unit

(3)
Below is a relaxed Mg2H8Ru crystal, with properties calculated at the GGA-PBE level.

a = 7.231 Å, b = 7.231 Å, c = 5.155 Å
α = 107.69°, β = 107.69°, γ = 23.66°
Atoms (fractional coordinates):
Mg 0.152 0.152 0.417
Mg 0.848 0.848 0.583
H 0.032 0.032 0.705
H 0.281 0.281 0.707
H 0.378 0.378 0.311
H 0.467 0.467 0.787
H 0.533 0.533 0.213
H 0.622 0.622 0.689
H 0.719 0.719 0.293
H 0.968 0.968 0.295
Ru 0.500 0.500 0.500

Results
total energy: -3.679 eV per atom
total moment: 0.000 μB per formula unit

(4)
Below is a relaxed MgHRu2 crystal, with properties calculated at the GGA-PBE level.

a = 4.145 Å, b = 4.145 Å, c = 4.145 Å
α = 60.00°, β = 60.00°, γ = 60.00°
Atoms (fractional coordinates):
Mg 0.000 0.000 0.000
H 0.500 0.500 0.500
Ru 0.250 0.250 0.250
Ru 0.750 0.750 0.750

Results
total energy: -4.933 eV per atom
E above lowest polymorph: 2.29 eV per formula unit
total moment: 0.000 μB per formula unit

(5)
Below is a relaxed Mg3H4Ru crystal, with properties calculated at the GGA-PBE level.

a = 4.983 Å, b = 4.983 Å, c = 4.983 Å
α = 123.49°, β = 99.80°, γ = 106.14°
Atoms (fractional coordinates):
Mg 0.000 0.000 0.000
Mg 0.352 0.584 0.768
Mg 0.817 0.584 0.232
H 0.001 0.235 0.767
H 0.468 0.235 0.233
H 0.498 0.211 0.712
H 0.498 0.786 0.288
Ru 0.727 0.227 0.500

Results
total energy: -3.633 eV per atom
total moment: 0.000 μB per formula unit

(6)
Below is a relaxed Mg3HRu crystal, with properties calculated at the GGA-PBE level.

a = 4.959 Å, b = 4.959 Å, c = 4.959 Å
α = 90.00°, β = 90.00°, γ = 90.00°
Atoms (fractional coordinates):
Mg 0.000 0.000 0.500
Mg 0.000 0.500 0.000
Mg 0.500 0.000 0.000
H 0.500 0.500 0.500
Ru 0.000 0.000 0.000

Results
total energy: -2.641 eV per atom
E above lowest polymorph: 4.13 eV per formula unit
total moment: 0.074 μB per formula unit

(7)
Below is a relaxed Mg3H12Ru5 crystal, with properties calculated at the GGA-PBE level.

a = 9.422 Å, b = 9.422 Å, c = 9.422 Å
α = 109.47°, β = 109.47°, γ = 109.47°
Atoms (fractional coordinates):
Mg 0.125 0.250 0.375
Mg 0.125 0.375 0.750
Mg 0.250 0.375 0.125
Mg 0.250 0.875 0.625
Mg 0.375 0.125 0.250
Mg 0.375 0.750 0.125
Mg 0.625 0.250 0.875
Mg 0.625 0.875 0.750
Mg 0.750 0.125 0.375
Mg 0.750 0.625 0.875
Mg 0.875 0.625 0.250
Mg 0.875 0.750 0.625
H 0.041 0.212 0.122
H 0.041 0.329 0.919
H 0.081 0.622 0.410
H 0.081 0.959 0.671
H 0.090 0.712 0.671
H 0.090 0.878 0.419
H 0.122 0.041 0.212
H 0.122 0.581 0.910
H 0.171 0.212 0.590
H 0.171 0.459 0.581
H 0.212 0.122 0.041
H 0.212 0.590 0.171
H 0.288 0.329 0.910
H 0.288 0.459 0.378
H 0.329 0.910 0.288
H 0.329 0.919 0.041
H 0.378 0.288 0.459
H 0.378 0.590 0.919
H 0.410 0.081 0.622
H 0.410 0.829 0.788
H 0.419 0.090 0.878
H 0.419 0.829 0.541
H 0.459 0.378 0.288
H 0.459 0.581 0.171
H 0.541 0.419 0.829
H 0.541 0.622 0.712
H 0.581 0.171 0.459
H 0.581 0.910 0.122
H 0.590 0.171 0.212
H 0.590 0.919 0.378
H 0.622 0.410 0.081
H 0.622 0.712 0.541
H 0.671 0.081 0.959
H 0.671 0.090 0.712
H 0.712 0.541 0.622
H 0.712 0.671 0.090
H 0.788 0.410 0.829
H 0.788 0.878 0.959
H 0.829 0.541 0.419
H 0.829 0.788 0.410
H 0.878 0.419 0.090
H 0.878 0.959 0.788
H 0.910 0.122 0.581
H 0.910 0.288 0.329
H 0.919 0.041 0.329
H 0.919 0.378 0.590
H 0.959 0.671 0.081
H 0.959 0.788 0.878
Ru 0.000 0.000 0.000
Ru 0.000 0.000 0.500
Ru 0.000 0.500 0.000
Ru 0.000 0.500 0.500
Ru 0.125 0.750 0.875
Ru 0.125 0.875 0.250
Ru 0.250 0.125 0.875
Ru 0.250 0.625 0.375
Ru 0.375 0.250 0.625
Ru 0.375 0.625 0.750
Ru 0.500 0.000 0.000
Ru 0.500 0.000 0.500
Ru 0.500 0.500 0.000
Ru 0.500 0.500 0.500
Ru 0.625 0.375 0.250
Ru 0.625 0.750 0.375
Ru 0.750 0.375 0.625
Ru 0.750 0.875 0.125
Ru 0.875 0.125 0.750
Ru 0.875 0.250 0.125

Results
total energy: -4.585 eV per atom
total moment: 0.000 μB per formula unit

(8)
Below is a relaxed MgH4Ru crystal, with properties calculated at the GGA-PBE level.

a = 4.757 Å, b = 4.136 Å, c = 4.952 Å
α = 90.00°, β = 109.40°, γ = 90.00°
Atoms (fractional coordinates):
Mg 0.000 0.000 0.000
Mg 0.000 0.500 0.500
H 0.135 0.084 0.400
H 0.135 0.416 0.900
H 0.379 0.662 0.274
H 0.379 0.838 0.774
H 0.621 0.162 0.226
H 0.621 0.338 0.726
H 0.865 0.584 0.100
H 0.865 0.916 0.600
Ru 0.500 0.000 0.500
Ru 0.500 0.500 0.000

Results
total energy: -4.181 eV per atom
E above lowest polymorph: 0.00 eV per formula unit
total moment: 0.000 μB per formula unit